<one>
Be2Ga2W | PBE | relaxed

The space group is I4/mmm (No. 139) and the conventional cell measures 3.442, 3.442 and 11.021 Å, with angles of 90.00, 90.00 and 90.00 degrees. The inequivalent atoms are Be at (0.000, 0.500, 0.250), Ga at (0.000, 0.000, 0.110) and W at (0.000, 0.000, 0.500).


<two>
Be2Ga2W | PBE | relaxed

The space group is P4/mbm (No. 127) and the conventional cell measures 6.784, 6.784 and 2.825 Å, with angles of 90.00, 90.00 and 90.00 degrees. The inequivalent atoms are Be at (0.166, 0.334, 0.000), Ga at (0.135, 0.635, 0.500) and W at (0.000, 0.000, 0.500).


Need the numbers? Relative energies in meV per atom: <one> 143; <two> 0.